Material: CoPdSeO
Method: DFT, GGA+U
State: optimized geometry

## Properties
Symmetry: No. 61
ΔE to the lowest computed polymorph, eV per atom: 0.006
Calculated density, Mg/m³: 6.65

a b c (Å): 6.2197 12.9157 6.4703
angles (deg): 90.00 90.00 90.00
Fractional positions:
Co1 0.0382 0.2253 0.1416
Co2 0.0382 0.2747 0.6416
Co3 0.4618 0.7253 0.1416
Co4 0.4618 0.7747 0.6416
Co5 0.5382 0.2253 0.3584
Co6 0.5382 0.2747 0.8584
Co7 0.9618 0.7253 0.3584
Co8 0.9618 0.7747 0.8584
Pd1 0.2502 0.0831 0.5449
Pd2 0.2502 0.4169 0.0449
Pd3 0.2498 0.5831 0.5449
Pd4 0.2498 0.9169 0.0449
Pd5 0.7502 0.0831 0.9551
Pd6 0.7502 0.4169 0.4551
Pd7 0.7498 0.5831 0.9551
Pd8 0.7498 0.9169 0.4551
Se1 0.0039 0.0245 0.2454
Se2 0.0039 0.4755 0.7454
Se3 0.4961 0.5245 0.2454
Se4 0.4961 0.9755 0.7454
Se5 0.5039 0.0245 0.2546
Se6 0.5039 0.4755 0.7546
Se7 0.9961 0.5245 0.2546
Se8 0.9961 0.9755 0.7546
O1 0.2179 0.2481 0.3929
O2 0.2179 0.2519 0.8929
O3 0.2821 0.7481 0.3929
O4 0.2821 0.7519 0.8929
O5 0.7179 0.2481 0.1071
O6 0.7179 0.2519 0.6071
O7 0.7821 0.7481 0.1071
O8 0.7821 0.7519 0.6071